Record 1
A crystal of La2YCd relaxed with PBEsol. Source: Alexandria via LeMat-Bulk, functional SCAN.

The structure in POSCAR format:
```
La2YCd
1.0
-1.338 -1.419 3.098
4.323 -0.092 1.825
-0.938 6.450 2.548
La Cd Y
2 1 1
Cartesian
-0.251 1.726 0.682
-0.687 4.724 1.866
1.023 2.470 3.736
1.492 -0.755 2.462
```

- Space group: No. 47
- DFT formation energy: -157 meV per atom


Record 2
A crystal of Cu2SnHgS4 relaxed with PBEsol. Source: Alexandria via LeMat-Bulk, functional SCAN.

The structure in POSCAR format:
```
Cu2SnHgS4
1.0
5.533 0.000 0.000
0.000 5.533 0.000
-2.767 -2.767 5.436
S Sn Cu Hg
4 1 2 1
Cartesian
1.338 -1.338 3.882
1.429 1.429 1.554
-1.338 1.338 3.882
4.105 4.105 1.554
2.767 2.767 0.000
0.000 2.767 2.718
2.767 0.000 2.718
0.000 0.000 0.000
```

- VASP energy: -21.963 eV per atom
- Space group: No. 121


Q: Which formula does entry 1 have?
A: La2YCd